1.
Density functional theory data (PBE-GGA) for crystalline Dy3Sc4Pt4 at its relaxed geometry.

```
data_Dy3Sc4Pt4
_cell_length_a 4.291
_cell_length_b 7.794
_cell_length_c 14.608
_cell_angle_alpha 90.00
_cell_angle_beta 90.00
_cell_angle_gamma 90.00
_symmetry_space_group_name_H-M 'I m m m'
_symmetry_Int_Tables_number 71
_symmetry_space_group_name_Hall '-I 2 2'
loop_
_atom_site_label
_atom_site_type_symbol
_atom_site_fract_x
_atom_site_fract_y
_atom_site_fract_z
Dy1 Dy 0.000 0.000 0.000
Dy2 Dy 0.000 0.500 0.109
Sc1 Sc 0.000 0.301 0.327
Pt1 Pt 0.000 0.000 0.218
Pt2 Pt 0.000 0.190 0.500
```


2.
Density functional theory data (PBE-GGA) for crystalline DyScPt6 at its relaxed geometry.

```
data_DyScPt6
_cell_length_a 4.066
_cell_length_b 4.066
_cell_length_c 8.123
_cell_angle_alpha 90.00
_cell_angle_beta 90.00
_cell_angle_gamma 90.00
_symmetry_space_group_name_H-M 'P 4/m m m'
_symmetry_Int_Tables_number 123
_symmetry_space_group_name_Hall '-P 4 2'
loop_
_atom_site_label
_atom_site_type_symbol
_atom_site_fract_x
_atom_site_fract_y
_atom_site_fract_z
Dy1 Dy 0.000 0.000 0.000
Sc1 Sc 0.000 0.000 0.500
Pt1 Pt 0.000 0.500 0.259
Pt2 Pt 0.500 0.500 0.000
Pt3 Pt 0.500 0.500 0.500
```


3.
Density functional theory data (PBE-GGA) for crystalline DySc2Pt at its relaxed geometry.

```
data_DySc2Pt
_cell_length_a 6.815
_cell_length_b 9.087
_cell_length_c 6.134
_cell_angle_alpha 90.00
_cell_angle_beta 90.00
_cell_angle_gamma 90.00
_symmetry_space_group_name_H-M 'P n m a'
_symmetry_Int_Tables_number 62
loop_
_symmetry_equiv_pos_as_xyz
'x,y,z'
'-x,-y,-z'
'-x+1/2,-y,z+1/2'
'x+1/2,y,-z+1/2'
'x+1/2,-y+1/2,-z+1/2'
'-x+1/2,y+1/2,z+1/2'
'-x,y+1/2,-z'
'x,-y+1/2,z'
loop_
_atom_site_label
_atom_site_type_symbol
_atom_site_fract_x
_atom_site_fract_y
_atom_site_fract_z
Dy1 Dy 0.017 0.250 0.119
Sc1 Sc 0.176 0.058 0.674
Pt1 Pt 0.110 0.750 0.432
```


4.
Density functional theory data (PBE-GGA) for crystalline DySc2Pt2 at its relaxed geometry.

```
data_DySc2Pt2
_cell_length_a 4.7073
_cell_length_b 4.7073
_cell_length_c 5.7654
_cell_angle_alpha 90.00
_cell_angle_beta 90.00
_cell_angle_gamma 120.00
_symmetry_space_group_name_H-M 'P -3 m 1'
_symmetry_Int_Tables_number 164
_symmetry_space_group_name_Hall '-P 3 2"'
loop_
_atom_site_label
_atom_site_type_symbol
_atom_site_fract_x
_atom_site_fract_y
_atom_site_fract_z
Dy1 Dy 0.0000 0.0000 0.0000
Sc1 Sc 0.3333 0.6667 0.6552
Pt1 Pt 0.3333 0.6667 0.1882
```


5.
Density functional theory data (PBE-GGA) for crystalline DySc2Pt at its relaxed geometry.

```
data_DySc2Pt
_cell_length_a 3.381
_cell_length_b 3.381
_cell_length_c 8.009
_cell_angle_alpha 90.00
_cell_angle_beta 90.00
_cell_angle_gamma 90.00
_symmetry_space_group_name_H-M 'P 4/m m m'
_symmetry_Int_Tables_number 123
_symmetry_space_group_name_Hall '-P 4 2'
loop_
_atom_site_label
_atom_site_type_symbol
_atom_site_fract_x
_atom_site_fract_y
_atom_site_fract_z
Dy1 Dy 0.000 0.000 0.000
Sc1 Sc 0.500 0.500 0.306
Pt1 Pt 0.000 0.000 0.500
```


6.
Density functional theory data (PBE-GGA) for crystalline Dy5ScPt6 at its relaxed geometry.

```
data_Dy5ScPt6
_cell_length_a 15.623
_cell_length_b 6.825
_cell_length_c 4.918
_cell_angle_alpha 90.00
_cell_angle_beta 108.13
_cell_angle_gamma 90.00
_symmetry_space_group_name_H-M 'C 1 2/m 1'
_symmetry_Int_Tables_number 12
loop_
_symmetry_equiv_pos_as_xyz
'x,y,z'
'-x,-y,-z'
'-x,y,-z'
'x,-y,z'
'x+1/2,y+1/2,z'
'-x+1/2,-y+1/2,-z'
'-x+1/2,y+1/2,-z'
'x+1/2,-y+1/2,z'
loop_
_atom_site_label
_atom_site_type_symbol
_atom_site_fract_x
_atom_site_fract_y
_atom_site_fract_z
Dy1 Dy 0.000 0.000 0.000
Dy2 Dy 0.166 0.500 0.666
Dy3 Dy 0.167 0.000 0.667
Sc1 Sc 0.000 0.500 0.000
Pt1 Pt 0.000 0.260 0.500
Pt2 Pt 0.158 0.259 0.158
```


Number 1: total DFT energy (no corrections) -6.722 eV/atom. Number 2: total DFT energy (no corrections) -6.944 eV/atom. Number 3: total DFT energy (no corrections) -6.529 eV/atom. Number 4: total DFT energy (no corrections) -6.902 eV/atom. Number 5: total DFT energy (no corrections) -6.416 eV/atom. Number 6: total DFT energy (no corrections) -6.681 eV/atom.